{"formula": "ZnBi3Pd", "functional": "PBE", "state": "optimized geometry", "vol_a3_per_atom": 29.93, "polymorph_energy_mev_per_atom": 244, "formation_enthalpy_0k_ev_per_atom": 0.647, "cell": [[-4.0919, 0.5678, -3.3347], [-2.2894, -4.3178, 2.0741], [-2.4903, 3.0365, 3.5728]], "species": ["Bi", "Pd", "Zn", "Bi", "Bi"], "fractional_positions": [[0.0000, 0.0000, 0.5000], [0.5000, 0.5000, 0.5000], [0.0000, 0.0000, 0.0000], [0.5000, 0.0000, 0.0000], [0.0000, 0.5000, 0.0000]]}